1.
A plane-wave DFT calculation with PBE was carried out for crystalline RbAlAu at its relaxed geometry.

```
RbAlAu
1.0
0.000 3.621 3.621
3.621 0.000 3.621
3.621 3.621 0.000
Rb Al Au
1 1 1
direct
0.000 0.000 0.000
0.750 0.750 0.750
0.500 0.500 0.500
```

Values from the calculation:
SG: F-43m (216)
energy above the lowest structure with this stoichiometry: 0.096 eV per atom

2.
A plane-wave DFT calculation with PBE was carried out for crystalline RbAlAu at its relaxed geometry.

```
RbAlAu
1.0
0.000 3.860 3.860
3.860 0.000 3.860
3.860 3.860 0.000
Rb Al Au
1 1 1
direct
0.000 0.000 0.000
0.750 0.750 0.750
0.250 0.250 0.250
```

Values from the calculation:
SG: F-43m (216)
energy above the lowest structure with this stoichiometry: 0.422 eV per atom

3.
A plane-wave DFT calculation with PBE was carried out for crystalline RbAl2Au3 at its relaxed geometry.

```
RbAl2Au3
1.0
5.790 -4.134 0.000
5.790 4.134 0.000
0.000 0.000 5.664
Rb Al Au
2 4 6
direct
0.142 0.858 0.750
0.858 0.142 0.250
0.311 0.311 0.000
0.311 0.311 0.500
0.689 0.689 0.000
0.689 0.689 0.500
0.011 0.575 0.250
0.425 0.989 0.250
0.426 0.574 0.250
0.574 0.426 0.750
0.575 0.011 0.750
0.989 0.425 0.750
```

Values from the calculation:
final energy: -3.49 eV per atom
SG: Cmcm (63)

4.
A plane-wave DFT calculation with PBE was carried out for crystalline RbYAlAu at its relaxed geometry.

```
RbYAlAu
1.0
0.000 3.677 3.677
3.677 0.000 3.677
3.677 3.677 0.000
Rb Y Al Au
1 1 1 1
direct
0.000 0.000 0.000
0.250 0.250 0.250
0.500 0.500 0.500
0.750 0.750 0.750
```

Values from the calculation:
SG: F-43m (216)
total moment: 0.00 μB/cell
energy above the lowest structure with this stoichiometry: 0.114 eV per atom

5.
A plane-wave DFT calculation with PBE was carried out for crystalline RbYAlAu at its relaxed geometry.

```
RbYAlAu
1.0
0.000 3.816 3.816
3.816 0.000 3.816
3.816 3.816 0.000
Rb Y Al Au
1 1 1 1
direct
0.000 0.000 0.000
0.500 0.500 0.500
0.250 0.250 0.250
0.750 0.750 0.750
```

Values from the calculation:
SG: F-43m (216)
total moment: 0.00 μB/cell
energy above the lowest structure with this stoichiometry: 0.028 eV per atom

6.
A plane-wave DFT calculation with PBE was carried out for crystalline RbYAlAu at its relaxed geometry.

```
RbYAlAu
1.0
0.000 3.625 3.625
3.625 0.000 3.625
3.625 3.625 0.000
Rb Y Al Au
1 1 1 1
direct
0.000 0.000 0.000
0.250 0.250 0.250
0.750 0.750 0.750
0.500 0.500 0.500
```

Values from the calculation:
SG: F-43m (216)
total moment: 0.00 μB/cell
energy above the lowest structure with this stoichiometry: 0.000 eV per atom

7.
A plane-wave DFT calculation with PBE was carried out for crystalline Al2ReAu at its relaxed geometry.

```
Al2ReAu
1.0
0.000 3.158 3.158
3.158 0.000 3.158
3.158 3.158 0.000
Al Re Au
2 1 1
direct
0.000 0.000 0.000
0.250 0.250 0.250
0.500 0.500 0.500
0.750 0.750 0.750
```

Values from the calculation:
final energy: -5.53 eV per atom
SG: F-43m (216)
total moment: 0.00 μB/cell

8.
A plane-wave DFT calculation with PBE was carried out for crystalline AlReAu2 at its relaxed geometry.

```
AlReAu2
1.0
0.000 3.196 3.196
3.196 0.000 3.196
3.196 3.196 0.000
Al Re Au
1 1 2
direct
0.000 0.000 0.000
0.250 0.250 0.250
0.500 0.500 0.500
0.750 0.750 0.750
```

Values from the calculation:
final energy: -5.30 eV per atom
SG: F-43m (216)
total moment: 0.97 μB/cell